The following is a DFT calculation (GGA-PBE) of an optimized crystal structure of Er3Ga4Ni4.

The structure in POSCAR format:
```
Er3Ga4Ni4
1.0
-3.734 -0.167 1.927
0.719 -3.365 1.102
6.717 6.314 8.975
Er Ga Ni
3 4 4
direct
0.353 0.853 0.706
0.647 0.147 0.294
0.000 0.000 0.000
0.551 0.551 0.103
0.193 0.693 0.387
0.807 0.307 0.613
0.449 0.449 0.897
0.903 0.403 0.806
0.097 0.597 0.194
0.744 0.744 0.488
0.256 0.256 0.512
```

DFT formation energy = -0.5760 eV/atom

***

The following is a DFT calculation (GGA-PBE) of an optimized crystal structure of LaPr6SmEr2.

The structure in POSCAR format:
```
LaPr6SmEr2
1.0
-8.543 -2.720 -4.128
4.786 -6.480 -4.039
-2.789 -1.596 8.419
Pr Er Sm La
12 4 2 2
direct
0.444 0.241 0.893
0.620 0.489 0.703
0.380 0.511 0.297
0.318 0.983 0.435
0.120 0.703 0.489
0.818 0.435 0.983
0.556 0.759 0.107
0.182 0.565 0.017
0.944 0.893 0.241
0.880 0.297 0.511
0.056 0.107 0.759
0.682 0.017 0.565
0.548 0.195 0.290
0.452 0.805 0.710
0.952 0.710 0.805
0.048 0.290 0.195
0.250 0.969 0.031
0.750 0.031 0.969
0.250 0.405 0.595
0.750 0.595 0.405
```

DFT formation energy = 0.1090 eV/atom

***

The following is a DFT calculation (GGA-PBE) of an optimized crystal structure of Y4Th.

The structure in POSCAR format:
```
Y4Th
1.0
-1.336 5.628 -0.280
-2.676 -0.887 -5.059
-4.959 -1.038 2.805
Y Th
4 1
direct
0.000 0.000 0.000
0.500 0.500 0.000
0.000 0.500 0.500
0.500 0.000 0.500
0.500 0.500 0.500
```

DFT formation energy = 0.8324 eV/atom

***

The following is a DFT calculation (GGA-PBE) of an optimized crystal structure of Sc3SbPO.

The structure in POSCAR format:
```
Sc3SbPO
1.0
3.812 0.000 0.000
0.000 8.078 0.693
0.000 -2.387 7.924
Sc P O Sb
6 2 2 2
direct
0.250 0.839 0.484
0.250 0.124 0.846
0.750 0.876 0.154
0.250 0.574 0.850
0.750 0.161 0.516
0.750 0.426 0.150
0.750 0.348 0.829
0.250 0.652 0.171
0.750 0.907 0.411
0.250 0.093 0.589
0.250 0.175 0.218
0.750 0.825 0.782
```

uncorrected formation energy = -1.75 eV per atom

***

The following is a DFT calculation (GGA-PBE) of an optimized crystal structure of CoTcRh2.

The structure in POSCAR format:
```
CoTcRh2
1.0
3.771 0.000 0.000
0.000 2.689 0.013
0.000 2.664 5.335
Tc Rh Co
1 2 1
direct
0.500 0.250 0.250
0.000 0.495 0.505
0.000 0.005 0.995
0.500 0.750 0.750
```

DFT formation energy = -0.0124 eV/atom

***

The following is a DFT calculation (GGA-PBE) of an optimized crystal structure of Cr2Os.

The structure in POSCAR format:
```
Cr2Os
1.0
-2.872 2.872 2.507
2.872 -2.872 2.507
2.872 2.872 -2.507
Os Cr
2 4
direct
0.250 0.250 0.000
0.750 0.750 0.000
0.361 0.139 0.500
0.861 0.361 0.222
0.639 0.861 0.500
0.139 0.639 0.778
```

DFT formation energy = 0.4072 eV/atom

***

The following is a DFT calculation (GGA-PBE) of an optimized crystal structure of CaMg2Au2.

The structure in POSCAR format:
```
CaMg2Au2
1.0
7.908 0.000 0.000
0.000 7.908 0.000
0.000 0.000 3.466
Mg Au Ca
4 4 2
direct
0.852 0.352 0.500
0.148 0.648 0.500
0.352 0.148 0.500
0.648 0.852 0.500
0.644 0.144 0.000
0.144 0.356 0.000
0.356 0.856 0.000
0.856 0.644 0.000
0.500 0.500 0.000
0.000 0.000 0.000
```

DFT formation energy = -0.5445 eV/atom

***

The following is a DFT calculation (GGA-PBE) of an optimized crystal structure of Ac6IrRhAu2.

The structure in POSCAR format:
```
Ac6IrRhAu2
1.0
7.818 0.001 0.001
3.910 6.770 0.001
3.910 2.257 6.916
Ac Rh Au Ir
6 1 2 1
direct
0.587 0.202 0.261
0.202 0.950 0.261
0.703 0.090 0.760
0.447 0.703 0.760
0.950 0.587 0.261
0.090 0.447 0.760
0.824 0.824 0.528
0.016 0.016 0.951
0.517 0.517 0.449
0.325 0.325 0.025
```

DFT formation energy = -0.6203 eV/atom

***

The following is a DFT calculation (GGA-PBE) of an optimized crystal structure of RbMgAlCl6.

The structure in POSCAR format:
```
RbMgAlCl6
1.0
-4.866 -4.100 -0.426
5.482 -1.827 2.698
-4.977 4.539 13.189
Cl Mg Al Rb
12 2 2 2
direct
0.362 0.382 0.842
0.618 0.980 0.842
0.980 0.618 0.342
0.382 0.020 0.158
0.980 0.362 0.158
0.382 0.362 0.342
0.638 0.618 0.158
0.020 0.638 0.842
0.618 0.638 0.658
0.638 0.020 0.342
0.362 0.980 0.658
0.020 0.382 0.658
0.333 0.667 0.250
0.667 0.333 0.750
0.333 0.667 0.750
0.667 0.333 0.250
0.000 0.000 0.000
0.000 0.000 0.500
```

uncorrected formation energy = -1.75 eV per atom

***

The following is a DFT calculation (GGA-PBE) of an optimized crystal structure of CePm6Ho2.

The structure in POSCAR format:
```
CePm6Ho2
1.0
-0.875 3.502 -9.181
3.384 -4.835 -2.166
-7.937 -5.491 -1.338
Ho Pm Ce
4 12 2
direct
0.077 0.486 0.349
0.577 0.014 0.151
0.423 0.986 0.849
0.923 0.514 0.651
0.888 0.865 0.197
0.643 0.856 0.518
0.722 0.388 0.348
0.112 0.135 0.803
0.388 0.635 0.303
0.357 0.144 0.482
0.143 0.644 0.982
0.222 0.112 0.152
0.857 0.356 0.018
0.612 0.365 0.697
0.778 0.888 0.848
0.278 0.612 0.652
0.000 0.000 0.500
0.500 0.500 0.000
```

DFT formation energy = 0.1493 eV/atom

***

The following is a DFT calculation (GGA-PBE) of an optimized crystal structure of Mg2BiOsC.

The structure in POSCAR format:
```
Mg2BiOsC
1.0
4.617 0.000 0.000
0.000 4.022 0.000
0.000 0.000 4.617
C Bi Os Mg
1 1 1 2
direct
0.000 0.000 0.000
0.500 0.500 0.500
0.000 0.500 0.000
0.000 0.000 0.500
0.500 0.000 0.000
```

DFT formation energy = 0.2125 eV/atom

***

The following is a DFT calculation (GGA-PBE) of an optimized crystal structure of LiFeSi2.

The structure in POSCAR format:
```
LiFeSi2
1.0
4.512 0.006 0.001
-1.663 4.194 0.001
-0.001 -0.001 2.552
Si Fe Li
2 1 1
direct
0.500 0.500 0.000
0.000 0.000 0.000
0.500 0.000 0.500
0.000 0.500 0.500
```

uncorrected formation energy = -0.08 eV per atom

***

What are the spin magnetization values for these records? In order: 0.00 0.00 0.00 0.00 1.53 0.00 0.00 0.00 0.00 1.11 0.00 2.04 μB/f.u..